No. 1
Computed, not measured: an optimized crystal structure of YZrOs at the PBE-GGA level of DFT.

For the mass density, the calculation gives 8.9 g/cm3. For the total moment, the calculation gives 0.00 μB/atom. For the energy, the calculation gives -108.45 eV per cell. The calculation puts the polymorph energy (0 for the lowest one) at 0 kJ/mol of formula units. As for the space-group type: C2/m, No. 12. The calculation puts the formation energy at -0.9 eV per formula unit. The density of states at the Fermi level is 10.12 states/eV/cell.

a = 7.536 Å, b = 4.115 Å, c = 11.096 Å
α = 90.00°, β = 126.18°, γ = 90.00°
Sites, in units of the cell vectors:
Os  0.182  0.000  0.643
Os  0.818  0.500  0.857
Os  0.182  0.500  0.143
Os  0.818  0.000  0.357
Zr  0.418  0.000  0.316
Zr  0.418  0.500  0.816
Zr  0.582  0.500  0.184
Zr  0.582  0.000  0.684
Y  0.157  0.500  0.421
Y  0.843  0.500  0.579
Y  0.843  0.000  0.079
Y  0.157  0.000  0.921

---

No. 2
Computed, not measured: an optimized crystal structure of Ce3CoSi at the PBE-GGA level of DFT.

For the mass density, the calculation gives 7.7 g/cm3. For the total moment, the calculation gives 0.00 μB/atom. For the energy, the calculation gives -63.75 eV per cell. The raw formation energy comes out at -0.309 eV/atom. As for the space-group type: P-1, No. 2. The density of states at the Fermi level is 18.92 states/eV/cell.

a = 3.719 Å, b = 4.760 Å, c = 13.324 Å
α = 90.99°, β = 68.00°, γ = 88.90°
Sites, in units of the cell vectors:
Si  0.413  0.242  0.330
Si  0.587  0.758  0.670
Co  0.777  0.676  0.083
Co  0.223  0.324  0.917
Ce  0.536  0.226  0.089
Ce  0.638  0.251  0.530
Ce  0.464  0.774  0.911
Ce  0.362  0.749  0.470
Ce  0.014  0.264  0.735
Ce  0.986  0.736  0.265

---

No. 3
Computed, not measured: an optimized crystal structure of LaTiOF2 at the PBE-GGA level of DFT.

For the mass density, the calculation gives 5.6 g/cm3. For the total moment, the calculation gives 0.55 μB/atom. For the energy, the calculation gives -34.38 eV per cell. The raw formation energy comes out at -2.571 eV/atom. The calculation puts the polymorph energy (0 for the lowest one) at 0 kJ/mol of formula units. As for the space-group type: P4/mmm, No. 123. The density of states at the Fermi level is 3.70 states/eV/cell.

a = 4.199 Å, b = 4.199 Å, c = 4.042 Å
α = 90.00°, β = 90.00°, γ = 90.00°
Site moments in Bohr magnetons follow the coordinates.
Sites, in units of the cell vectors:
F  0.500  0.000  0.000  0.04
F  0.000  0.500  0.000  0.04
La  0.500  0.500  0.500  0.59
O  0.000  0.000  0.500  -0.06
Ti  0.000  0.000  0.000  1.51

---

No. 4
Computed, not measured: an optimized crystal structure of Ca2InSbF at the PBE-GGA level of DFT.

For the mass density, the calculation gives 4.4 g/cm3. For the total moment, the calculation gives 0.00 μB/atom. For the energy, the calculation gives -18.82 eV per cell. The raw formation energy comes out at -1.218 eV/atom. As for the space-group type: P4/mmm, No. 123. The density of states at the Fermi level is 3.16 states/eV/cell.

a = 4.974 Å, b = 5.136 Å, c = 4.974 Å
α = 90.00°, β = 90.00°, γ = 90.00°
Sites, in units of the cell vectors:
In  0.000  0.500  0.000
Sb  0.500  0.500  0.500
F  0.000  0.000  0.000
Ca  0.500  0.000  0.000
Ca  0.000  0.000  0.500

---

No. 5
Computed, not measured: an optimized crystal structure of CeInNi at the PBE-GGA level of DFT.

For the mass density, the calculation gives 7.4 g/cm3. For the total moment, the calculation gives 0.23 μB/atom. For the energy, the calculation gives -30.48 eV per cell. As for the space-group type: R-3m, No. 166. The calculation puts the formation energy at -0.8 eV per formula unit. The density of states at the Fermi level is 12.29 states/eV/cell.

a = 4.476 Å, b = 4.473 Å, c = 8.543 Å
α = 105.16°, β = 90.00°, γ = 120.02°
Site moments in Bohr magnetons follow the coordinates.
Sites, in units of the cell vectors:
Ni  0.366  0.731  0.096  -0.03
Ni  0.634  0.269  0.904  -0.03
Ce  0.751  0.502  0.252  0.53
Ce  0.249  0.498  0.748  0.53
In  0.500  0.000  0.500  0.05
In  0.000  0.000  0.000  0.01

---

No. 6
Computed, not measured: an optimized crystal structure of K2CrCuH6 at the PBE-GGA level of DFT.

For the mass density, the calculation gives 2.7 g/cm3. For the total moment, the calculation gives 0.32 μB/atom. For the energy, the calculation gives -36.25 eV per cell. As for the space-group type: I4/mmm, No. 139. The density of states at the Fermi level is 1.01 states/eV/cell.

a = 5.119 Å, b = 5.119 Å, c = 5.858 Å
α = 64.10°, β = 64.10°, γ = 90.01°
Site moments in Bohr magnetons follow the coordinates.
Sites, in units of the cell vectors:
Cu  0.500  0.500  0.000  0.01
H  0.256  0.744  0.000  -0.02
H  0.256  0.256  0.000  -0.02
H  0.744  0.744  0.000  -0.02
H  0.810  0.810  0.379  -0.02
H  0.744  0.256  0.000  -0.02
H  0.190  0.190  0.621  -0.02
K  0.250  0.750  0.500  0.01
K  0.750  0.250  0.500  0.01
Cr  0.000  0.000  0.000  3.02

---

No. 7
Computed, not measured: an optimized crystal structure of BaLiTaN3 at the PBE-GGA level of DFT.

For the mass density, the calculation gives 6.8 g/cm3. For the total moment, the calculation gives 0.03 μB/atom. For the energy, the calculation gives -90.71 eV per cell. The raw formation energy comes out at -0.782 eV/atom. As for the space-group type: Cmcm, No. 63. The density of states at the Fermi level is 8.03 states/eV/cell.

a = 5.674 Å, b = 5.840 Å, c = 6.177 Å
α = 118.21°, β = 90.00°, γ = 90.00°
Site moments in Bohr magnetons follow the coordinates.
Sites, in units of the cell vectors:
Li  0.250  0.430  0.860  0.00
Li  0.750  0.570  0.140  0.00
N  0.500  0.763  0.000  0.05
N  0.250  0.230  0.459  0.03
N  0.750  0.770  0.541  0.03
N  0.000  0.237  0.000  0.05
N  0.500  0.237  0.000  0.05
N  0.000  0.763  0.000  0.05
Ta  0.250  0.054  0.108  -0.01
Ta  0.750  0.946  0.892  -0.01
Ba  0.250  0.726  0.452  0.00
Ba  0.750  0.274  0.548  0.00

---

No. 8
Computed, not measured: an optimized crystal structure of HoCu12 at the PBE-GGA level of DFT.

For the mass density, the calculation gives 8.9 g/cm3. For the total moment, the calculation gives 0.00 μB/atom. For the energy, the calculation gives -54.79 eV per cell. As for the space-group type: I4/mmm, No. 139. The calculation puts the formation energy at -1.1 eV per formula unit. The density of states at the Fermi level is 5.29 states/eV/cell.

a = 4.856 Å, b = 6.446 Å, c = 6.446 Å
α = 81.84°, β = 67.87°, γ = 67.87°
Sites, in units of the cell vectors:
Ho  0.000  0.000  0.000
Cu  0.279  0.221  0.221
Cu  0.500  0.779  0.221
Cu  0.000  0.000  0.500
Cu  0.354  0.646  0.646
Cu  0.500  0.500  0.000
Cu  0.500  0.221  0.779
Cu  0.721  0.779  0.779
Cu  0.000  0.646  0.354
Cu  0.000  0.354  0.646
Cu  0.646  0.354  0.354
Cu  0.000  0.500  0.000
Cu  0.500  0.000  0.500